(1)
LaAgH6Ru: optimized geometry, PBE.

Computed properties:
Electronic total energy   -4.352 eV/atom

a = 4.8771 Å, b = 4.8771 Å, c = 4.4067 Å
α = 90.00°, β = 90.00°, γ = 120.00°
Space group P-6m2 (No. 187)
Asymmetric unit:
La  0.0000  0.0000  0.0000
Ag  0.3333  0.6667  0.5000
H  0.5224  0.0449  0.2282
Ru  0.6667  0.3333  0.5000

---

(2)
ZnNi3Sb: optimized geometry, PBE.

Computed properties:
Formation energy (no corrections)   600 meV per atom
Energy above the lowest structure with this stoichiometry   0 meV per atom
Electronic total energy   -3.948 eV/atom

a = 4.349 Å, b = 4.349 Å, c = 4.349 Å
α = 90.00°, β = 90.00°, γ = 90.00°
Space group Pm-3m (No. 221)
Asymmetric unit:
Zn  0.000  0.000  0.000
Ni  0.000  0.000  0.500
Sb  0.500  0.500  0.500

---

no.,V (A^3/atom)
1,10.1
2,16.4